The following is a PBE-GGA calculation of a relaxed structure of Ba7TlPt2I2, from Alexandria.

Calculated total energy, Ry per atom: -0.24529
Raw formation energy, eV/f.u.: -9.04
Calculated volume, Å³/cell: 1236

Cell: 32.257 6.248 6.248 Å, 90.00 101.12 90.00°
Space group Cm (No. 8)
Unique sites:
Ba 0.000 0.000 0.000
Ba 0.000 0.500 0.499
Ba 0.114 0.500 0.113
Ba 0.221 0.000 0.719
Ba 0.336 0.000 0.336
Ba 0.336 0.500 0.836
Ba 0.418 0.000 0.917
Tl 0.418 0.500 0.419
Pt 0.018 0.500 0.017
Pt 0.318 0.000 0.818
I 0.168 0.000 0.166
I 0.168 0.500 0.666